The following is a GGA-PBE calculation of HoThZr2 after structural relaxation, from the Alexandria database.

Values from the calculation:
**SG**: R-3m
**Energy of formation**: 0.14 eV per atom
**Energy**: -28.53 eV for the cell shown
**E above lowest polymorph**: 0.17 eV/f.u.

Cell lengths 11.012, 11.012, 11.012 Å; angles 17.77, 17.77, 17.77 degrees
Fractional coordinates of all 4 atoms:
Ho (0.000, 0.000, 0.000)
Th (0.500, 0.500, 0.500)
Zr (0.249, 0.249, 0.249)
Zr (0.751, 0.751, 0.751)

=====

The following is a GGA-PBE calculation of Ho8Th2Zr after structural relaxation, from the Alexandria database.

Values from the calculation:
**SG**: C2/m
**Energy of formation**: 0.23 eV per atom
**Energy**: -57.52 eV for the cell shown

Cell lengths 8.781, 8.781, 6.576 Å; angles 100.94, 100.94, 43.46 degrees
Fractional coordinates of all 11 atoms:
Ho (0.093, 0.093, 0.916)
Ho (0.163, 0.674, 0.609)
Ho (0.254, 0.254, 0.669)
Ho (0.326, 0.837, 0.391)
Ho (0.674, 0.163, 0.609)
Ho (0.746, 0.746, 0.331)
Ho (0.837, 0.326, 0.391)
Ho (0.907, 0.907, 0.084)
Th (0.313, 0.313, 0.182)
Th (0.687, 0.687, 0.818)
Zr (0.500, 0.500, 0.000)